DFT (GGA+U) results for an optimized crystal structure of Na2HoMnO4.

For the calculated density, the calculation gives 5.406 g/cm3. For the electronic total energy, the calculation gives -104.2 eV for the cell shown.

a b c (Å): 6.4320 6.4320 6.7554
angles (deg): 119.33 119.33 89.31
Last column: nearest neighbours and their distance in Å.
Atoms (fractional coordinates):
O1 0.7143 0.7046 0.4852  1 Mn 1.99
O2 0.7460 0.2984 0.5336  1 Mn 2.03, 1 Ho 2.26
O3 0.2857 0.2954 0.5148  1 Mn 1.99
O4 0.2016 0.7540 0.9664  1 Mn 2.03, 1 Ho 2.26
O5 0.7985 0.2460 0.0336  1 Mn 2.03, 1 Ho 2.26
O6 0.2046 0.2143 0.9852  1 Mn 1.99
O7 0.7954 0.7857 0.0148  1 Mn 1.99
O8 0.2540 0.7015 0.4664  1 Mn 2.03, 1 Ho 2.26
Na1 0.5000 0.5000 0.0000  6 O 2.40-2.59
Na2 0.5000 0.0000 0.5000  4 O 2.32-2.35
Na3 0.5000 0.0000 0.0000  4 O 2.32-2.35
Na4 0.0000 0.0000 0.5000  6 O 2.40-2.59
Ho1 0.0000 0.5000 0.5000  6 O 2.24-2.30
Ho2 0.0000 0.5000 0.0000  6 O 2.24-2.30
Mn1 0.0000 0.0000 0.0000  4 O 1.99-2.03
Mn2 0.5000 0.5000 0.5000  4 O 1.99-2.03